The following is a GGA-PBEsol calculation of crystalline ZnFeBr2 at its relaxed geometry, from Alexandria.

a b c (Å): 4.866 4.866 4.866
angles (deg): 60.00 60.00 60.00
Fractional coordinates of all 4 atoms:
Br: 0.000 0.000 0.000
Br: 0.750 0.750 0.750
Fe: 0.500 0.500 0.500
Zn: 0.250 0.250 0.250

M_tot: 0.854 μB/atom
Space group: F-43m, No. 216
Crystal system: cubic
Raw total energy: -11.4 eV per cell
Calculated density: 5729 kg/m3